TiTe2Cl | PBE-GGA | relaxed

The total energy comes out at -0.1671 Ha/atom. The value obtained for the total magnetization is 0.0 μB per cell. Its space group is R-3m, No. 166. The value obtained for the formation energy (no corrections) is -0.542 eV/atom. The value obtained for the density of states at the Fermi level is 3.0 states/eV per cell.

Cell lengths 8.9427, 8.9427, 8.9427 Å; angles 25.26, 25.26, 25.26 degrees
Last column: nearest neighbours and their distance in Å.
Sites, in units of the cell vectors:
Cl1 0.0000 0.0000 0.0000  2 Te 2.72
Te1 0.8953 0.8953 0.8953  1 Cl 2.72, 3 Ti 2.77
Te2 0.1047 0.1047 0.1047  1 Cl 2.72, 3 Ti 2.77
Ti1 0.5000 0.5000 0.5000  6 Te 2.77